[1]
DFT (PBE-GGA) results for an optimized crystal structure of ZrScB2Mo.

a = 4.312 Å, b = 4.312 Å, c = 4.484 Å
α = 90.00°, β = 90.00°, γ = 90.00°
Space group P4/mmm (No. 123)
Inequivalent atoms, fractional coordinates:
Zr 0.000 0.000 0.000 (multiplicity 1)
Sc 0.500 0.500 0.500 (multiplicity 1)
B 0.000 0.500 0.500 (multiplicity 2)
Mo 0.500 0.500 0.000 (multiplicity 1)

total magnetization: 0.00 Bohr magnetons per cell
ρ: 5.054 g/cm³
offset from the most stable computed form: 0.000 eV per atom
E_tot: -31.463 eV/f.u.
crystal system: tetragonal

---

[2]
DFT (PBE-GGA) results for an optimized crystal structure of ZrScB2Mo.

a = 4.216 Å, b = 4.216 Å, c = 4.796 Å
α = 90.00°, β = 90.00°, γ = 90.00°
Space group P4/mmm (No. 123)
Inequivalent atoms, fractional coordinates:
Zr 0.000 0.000 0.000 (multiplicity 1)
Sc 0.000 0.000 0.500 (multiplicity 1)
B 0.000 0.500 0.500 (multiplicity 2)
Mo 0.500 0.500 0.000 (multiplicity 1)

total magnetization: 0.00 Bohr magnetons per cell
ρ: 4.941 g/cm³
offset from the most stable computed form: 0.446 eV per atom
E_tot: -29.234 eV/f.u.
crystal system: tetragonal

---

[3]
DFT (PBE-GGA) results for an optimized crystal structure of BMoSe3.

a = 4.937 Å, b = 4.937 Å, c = 4.937 Å
α = 90.00°, β = 90.00°, γ = 90.00°
Space group Pm-3m (No. 221)
Inequivalent atoms, fractional coordinates:
B 0.000 0.000 0.000 (multiplicity 1)
Mo 0.500 0.500 0.500 (multiplicity 1)
Se 0.000 0.500 0.500 (multiplicity 3)

total magnetization: 0.00 Bohr magnetons per cell
ρ: 4.741 g/cm³
offset from the most stable computed form: 0.162 eV per atom
E_tot: -22.670 eV/f.u.
energy relative to the elements, uncorrected: 1058 meV per atom
crystal system: cubic

---

[4]
DFT (PBE-GGA) results for an optimized crystal structure of B2MoSe6.

a = 11.663 Å, b = 10.603 Å, c = 6.234 Å
α = 90.00°, β = 100.09°, γ = 90.00°
Space group C2/c (No. 15)
Inequivalent atoms, fractional coordinates:
B 0.205 0.066 0.343 (multiplicity 8)
Mo 0.000 0.372 0.250 (multiplicity 4)
Se 0.113 0.435 0.614 (multiplicity 8)
Se 0.137 0.073 0.629 (multiplicity 8)
Se 0.155 0.236 0.179 (multiplicity 8)

total magnetization: 0.00 Bohr magnetons per cell
ρ: 5.174 g/cm³
E_tot: -45.750 eV/f.u.
energy relative to the elements, uncorrected: -73 meV per atom
crystal system: monoclinic

---

[5]
DFT (PBE-GGA) results for an optimized crystal structure of BMoSe3.

a = 4.429 Å, b = 4.429 Å, c = 4.429 Å
α = 90.00°, β = 90.00°, γ = 90.00°
Space group Pm-3m (No. 221)
Inequivalent atoms, fractional coordinates:
B 0.000 0.000 0.000 (multiplicity 1)
Mo 0.500 0.500 0.500 (multiplicity 1)
Se 0.000 0.000 0.500 (multiplicity 3)

total magnetization: 2.27 Bohr magnetons per cell
ρ: 6.570 g/cm³
offset from the most stable computed form: 0.000 eV per atom
E_tot: -23.482 eV/f.u.
energy relative to the elements, uncorrected: 896 meV per atom
crystal system: cubic

---

[6]
DFT (PBE-GGA) results for an optimized crystal structure of B2MoSe.

a = 5.086 Å, b = 5.086 Å, c = 9.113 Å
α = 90.00°, β = 90.00°, γ = 90.00°
Space group I-42d (No. 122)
Inequivalent atoms, fractional coordinates:
B 0.246 0.250 0.125 (multiplicity 8)
Mo 0.000 0.000 0.500 (multiplicity 4)
Se 0.000 0.000 0.000 (multiplicity 4)

total magnetization: 0.00 Bohr magnetons per cell
ρ: 5.538 g/cm³
E_tot: -24.375 eV/f.u.
energy relative to the elements, uncorrected: 824 meV per atom
crystal system: tetragonal

---

[7]
DFT (PBE-GGA) results for an optimized crystal structure of TcBMoSe2.

a = 4.984 Å, b = 4.984 Å, c = 4.084 Å
α = 90.00°, β = 90.00°, γ = 90.00°
Space group P4/mmm (No. 123)
Inequivalent atoms, fractional coordinates:
Tc 0.000 0.000 0.000 (multiplicity 1)
B 0.500 0.500 0.000 (multiplicity 1)
Mo 0.500 0.500 0.500 (multiplicity 1)
Se 0.000 0.500 0.500 (multiplicity 2)

total magnetization: 3.96 Bohr magnetons per cell
ρ: 5.936 g/cm³
E_tot: -28.919 eV/f.u.
energy relative to the elements, uncorrected: 1185 meV per atom
crystal system: tetragonal

---

[8]
DFT (PBE-GGA) results for an optimized crystal structure of Tc2BMoSe.

a = 4.087 Å, b = 4.087 Å, c = 4.424 Å
α = 90.00°, β = 90.00°, γ = 90.00°
Space group P4/mmm (No. 123)
Inequivalent atoms, fractional coordinates:
Tc 0.000 0.500 0.000 (multiplicity 2)
B 0.000 0.000 0.000 (multiplicity 1)
Mo 0.500 0.500 0.500 (multiplicity 1)
Se 0.000 0.000 0.500 (multiplicity 1)

total magnetization: 0.84 Bohr magnetons per cell
ρ: 8.576 g/cm³
E_tot: -37.256 eV/f.u.
energy relative to the elements, uncorrected: 894 meV per atom
crystal system: tetragonal

---

[9]
DFT (PBE-GGA) results for an optimized crystal structure of YB2MoSe.

a = 4.331 Å, b = 4.331 Å, c = 4.654 Å
α = 90.00°, β = 90.00°, γ = 90.00°
Space group P4/mmm (No. 123)
Inequivalent atoms, fractional coordinates:
Y 0.000 0.000 0.000 (multiplicity 1)
B 0.000 0.500 0.500 (multiplicity 2)
Mo 0.500 0.500 0.000 (multiplicity 1)
Se 0.500 0.500 0.500 (multiplicity 1)

total magnetization: 0.00 Bohr magnetons per cell
ρ: 5.429 g/cm³
E_tot: -27.412 eV/f.u.
energy relative to the elements, uncorrected: 1344 meV per atom
crystal system: tetragonal

---

[10]
DFT (PBE-GGA) results for an optimized crystal structure of Zr2BMoSe.

a = 5.101 Å, b = 5.101 Å, c = 4.026 Å
α = 90.00°, β = 90.00°, γ = 90.00°
Space group P4/mmm (No. 123)
Inequivalent atoms, fractional coordinates:
Zr 0.000 0.500 0.000 (multiplicity 2)
B 0.000 0.000 0.500 (multiplicity 1)
Mo 0.000 0.000 0.000 (multiplicity 1)
Se 0.500 0.500 0.500 (multiplicity 1)

total magnetization: 0.00 Bohr magnetons per cell
ρ: 5.836 g/cm³
E_tot: -35.531 eV/f.u.
energy relative to the elements, uncorrected: 512 meV per atom
crystal system: tetragonal

---

[11]
DFT (PBE-GGA) results for an optimized crystal structure of ZrBMoSe2.

a = 4.576 Å, b = 4.576 Å, c = 4.046 Å
α = 90.00°, β = 90.00°, γ = 90.00°
Space group P4/mmm (No. 123)
Inequivalent atoms, fractional coordinates:
Zr 0.000 0.000 0.000 (multiplicity 1)
B 0.500 0.500 0.500 (multiplicity 1)
Mo 0.500 0.500 0.000 (multiplicity 1)
Se 0.000 0.500 0.500 (multiplicity 2)

total magnetization: 0.00 Bohr magnetons per cell
ρ: 6.974 g/cm³
E_tot: -31.355 eV/f.u.
energy relative to the elements, uncorrected: 334 meV per atom
crystal system: tetragonal

---

[12]
DFT (PBE-GGA) results for an optimized crystal structure of SiB2Mo.

a = 5.116 Å, b = 5.116 Å, c = 8.098 Å
α = 90.00°, β = 90.00°, γ = 90.00°
Space group I-42d (No. 122)
Inequivalent atoms, fractional coordinates:
Si 0.000 0.000 0.000 (multiplicity 4)
B 0.237 0.250 0.125 (multiplicity 8)
Mo 0.000 0.000 0.500 (multiplicity 4)

total magnetization: 0.00 Bohr magnetons per cell
ρ: 4.564 g/cm³
E_tot: -26.977 eV/f.u.
energy relative to the elements, uncorrected: 658 meV per atom
crystal system: tetragonal

---

Question: The highest E_tot belongs to which entry?
Answer: number 3